Record 1
Density functional theory data (PBE) for crystalline KSrIN2 at its relaxed geometry.

- final energy (eV per atom) = -3.649
- polymorph energy (0 for the lowest one) (eV/f.u.) = 0.000
- energy relative to the elements, uncorrected (meV/atom) = 547
- space group = P4/mmm, No. 123

abc: 4.813 4.813 6.573
angles: 90.00 90.00 90.00
Last column: magnetic moment on the atom in μB.
Fractional coordinates of all 5 atoms:
I  0.000  0.000  0.500  0.04
Sr  0.000  0.000  0.000  0.05
K  0.500  0.500  0.500  0.00
N  0.000  0.500  0.000  1.26
N  0.500  0.000  0.000  1.26


Record 2
Density functional theory data (PBE) for crystalline Sc2InMo at its relaxed geometry.

- calculated formation energy (eV/atom) = 0.0290
- final energy (eV per atom) = -6.529
- space group = R-3m, No. 166

abc: 9.621 9.621 9.621
angles: 19.24 19.24 19.24
Last column: magnetic moment on the atom in μB.
Fractional coordinates of all 4 atoms:
In  0.250  0.250  0.250  0.00
Mo  0.750  0.750  0.750  0.56
Sc  0.008  0.008  0.008  0.08
Sc  0.492  0.492  0.492  0.08


Record 3
Density functional theory data (PBE) for crystalline Ta2CoHRu at its relaxed geometry.

- final energy (eV per atom) = -8.800
- polymorph energy (0 for the lowest one) (eV/f.u.) = 0.376
- space group = P4/mmm, No. 123

abc: 4.129 4.129 3.700
angles: 90.00 90.00 90.00
Fractional coordinates of all 5 atoms:
Ru  0.000  0.000  0.500
Co  0.500  0.500  0.500
H  0.000  0.000  0.000
Ta  0.000  0.500  0.000
Ta  0.500  0.000  0.000


Record 4
Density functional theory data (PBE) for crystalline CsCa2LaOs at its relaxed geometry.

- calculated formation energy (eV/atom) = 0.2246
- final energy (eV per atom) = -3.978
- space group = P4/mmm, No. 123

abc: 6.014 6.014 5.386
angles: 90.00 90.00 90.00
Fractional coordinates of all 5 atoms:
Cs  0.500  0.500  0.500
Ca  0.000  0.500  0.000
Ca  0.500  0.000  0.000
Os  0.000  0.000  0.000
La  0.000  0.000  0.500